# CaMgIn4 (PBE-GGA, optimized geometry)
# DFT formation energy: -102 kJ/mol of formula units
# ΔE to the lowest computed polymorph: 0.025 eV/atom
# Space-group type: C2/m
# Density of states at the Fermi level: 2.6 states/eV/f.u.
# E: -31.2 eV per cell
data_CaMgIn4
_cell_length_a 5.649
_cell_length_b 5.650
_cell_length_c 10.979
_cell_angle_alpha 107.07
_cell_angle_beta 107.03
_cell_angle_gamma 81.49
_symmetry_space_group_name_H-M 'P 1'
_symmetry_Int_Tables_number 1
_symmetry_space_group_name_Hall 'P 1'
loop_
_atom_site_label
_atom_site_type_symbol
_atom_site_fract_x
_atom_site_fract_y
_atom_site_fract_z
_atom_site_occupancy
Mg1 Mg 0.500 0.000 0.500 1
Mg2 Mg 0.000 0.500 0.500 1
In1 In 0.154 0.653 0.805 1
In2 In 0.846 0.347 0.195 1
In3 In 0.579 0.579 0.657 1
In4 In 0.079 0.078 0.657 1
In5 In 0.921 0.922 0.343 1
In6 In 0.653 0.154 0.805 1
In7 In 0.421 0.421 0.343 1
In8 In 0.347 0.846 0.195 1
Ca1 Ca 0.250 0.249 0.000 1
Ca2 Ca 0.750 0.751 0.000 1


# La2AsRh (PBE-GGA, optimized geometry)
# DFT formation energy: -394 kJ/mol of formula units
# Space-group type: R-3m
# Density of states at the Fermi level: 0.3 states/eV/f.u.
# E: -25.9 eV per cell
data_La2AsRh
_cell_length_a 4.280
_cell_length_b 4.280
_cell_length_c 7.457
_cell_angle_alpha 73.31
_cell_angle_beta 73.31
_cell_angle_gamma 60.01
_symmetry_space_group_name_H-M 'P 1'
_symmetry_Int_Tables_number 1
_symmetry_space_group_name_Hall 'P 1'
loop_
_atom_site_label
_atom_site_type_symbol
_atom_site_fract_x
_atom_site_fract_y
_atom_site_fract_z
_atom_site_occupancy
Rh1 Rh 0.750 0.750 0.750 1
La1 La 0.004 0.004 0.989 1
La2 La 0.496 0.496 0.511 1
As1 As 0.250 0.250 0.250 1


# Sr2ThZnSe5 (PBE-GGA, optimized geometry)
# Space-group type: Cmc2_1
# Formation energy without anion corrections: -1630 meV per atom
# E: -88.3 eV per cell
data_Sr2ThZnSe5
_cell_length_a 4.250
_cell_length_b 9.530
_cell_length_c 12.948
_cell_angle_alpha 90.00
_cell_angle_beta 90.00
_cell_angle_gamma 102.89
_symmetry_space_group_name_H-M 'P 1'
_symmetry_Int_Tables_number 1
_symmetry_space_group_name_Hall 'P 1'
loop_
_atom_site_label
_atom_site_type_symbol
_atom_site_fract_x
_atom_site_fract_y
_atom_site_fract_z
_atom_site_occupancy
Se1 Se 0.690 0.380 0.865 1
Se2 Se 0.708 0.415 0.174 1
Se3 Se 0.501 0.002 0.271 1
Se4 Se 0.292 0.585 0.674 1
Se5 Se 0.642 0.284 0.507 1
Se6 Se 0.499 0.998 0.771 1
Se7 Se 0.358 0.716 0.007 1
Se8 Se 0.953 0.905 0.542 1
Se9 Se 0.047 0.095 0.042 1
Se10 Se 0.310 0.620 0.365 1
Sr1 Sr 0.116 0.233 0.325 1
Sr2 Sr 0.108 0.215 0.682 1
Sr3 Sr 0.884 0.767 0.825 1
Sr4 Sr 0.892 0.785 0.182 1
Th1 Th 0.204 0.408 0.020 1
Th2 Th 0.796 0.592 0.520 1
Zn1 Zn 0.445 0.890 0.438 1
Zn2 Zn 0.555 0.110 0.938 1


Repeat the third record exactly.
# Sr2ThZnSe5 (PBE-GGA, optimized geometry)
# Space-group type: Cmc2_1
# Formation energy without anion corrections: -1630 meV per atom
# E: -88.3 eV per cell
data_Sr2ThZnSe5
_cell_length_a 4.250
_cell_length_b 9.530
_cell_length_c 12.948
_cell_angle_alpha 90.00
_cell_angle_beta 90.00
_cell_angle_gamma 102.89
_symmetry_space_group_name_H-M 'P 1'
_symmetry_Int_Tables_number 1
_symmetry_space_group_name_Hall 'P 1'
loop_
_atom_site_label
_atom_site_type_symbol
_atom_site_fract_x
_atom_site_fract_y
_atom_site_fract_z
_atom_site_occupancy
Se1 Se 0.690 0.380 0.865 1
Se2 Se 0.708 0.415 0.174 1
Se3 Se 0.501 0.002 0.271 1
Se4 Se 0.292 0.585 0.674 1
Se5 Se 0.642 0.284 0.507 1
Se6 Se 0.499 0.998 0.771 1
Se7 Se 0.358 0.716 0.007 1
Se8 Se 0.953 0.905 0.542 1
Se9 Se 0.047 0.095 0.042 1
Se10 Se 0.310 0.620 0.365 1
Sr1 Sr 0.116 0.233 0.325 1
Sr2 Sr 0.108 0.215 0.682 1
Sr3 Sr 0.884 0.767 0.825 1
Sr4 Sr 0.892 0.785 0.182 1
Th1 Th 0.204 0.408 0.020 1
Th2 Th 0.796 0.592 0.520 1
Zn1 Zn 0.445 0.890 0.438 1
Zn2 Zn 0.555 0.110 0.938 1